Entry 1:
BaMgAl2Ni (PBE, relaxed); crystal system = tetragonal; density = 4.1 g/cm³
1.0
4.735 0.000 0.000
0.000 4.735 0.000
0.000 0.000 4.989
Ba Mg Al Ni
1 1 2 1
Cartesian
0.000 0.000 0.000
2.367 2.367 0.000
0.000 2.367 2.494
2.367 0.000 2.494
2.367 2.367 2.494



Entry 2:
Cr2CuMo (PBE, relaxed); crystal system = tetragonal; density = 8.6 g/cm³; offset from the most stable computed form = 0.0673 eV/atom
1.0
3.748 0.000 0.000
0.000 3.748 0.000
0.000 0.000 3.637
Cr Cu Mo
2 1 1
Cartesian
0.000 1.874 0.000
1.874 0.000 0.000
0.000 0.000 1.819
1.874 1.874 1.819



The calculation returns the following ΔE_f values, one per record and in order: -0.239, 0.261 eV/atom.